Here is crystalline LaDy4 at its relaxed geometry from the Alexandria database. Energies are from GGA-PBE.

Values from the calculation:
ΔE to the lowest computed polymorph (kJ/mol of formula units): 4
M_tot (μB per formula unit): 0.0
DFT total energy (eV/atom): -4.64
ΔE_f (eV per atom): 0.027

Lattice parameters (Å, degrees): 9.5014 9.5014 9.5014 158.20 149.14 38.10
Positions (direct):
La (0.0000, 0.0000, 0.0000)
Dy (0.2005, 0.2005, 0.0000)
Dy (0.3968, 0.3968, 0.0000)
Dy (0.6032, 0.6032, 0.0000)
Dy (0.7995, 0.7995, 0.0000)